MgAs3Os (SCAN, PBEsol geometry); DFT total energy = -134.44 eV for the cell shown; calculated formation energy = 0.60 eV/atom; mass density = 6569 kg/m³; symmetry = No. 221
1.0
4.8067 0.0000 0.0000
0.0000 4.8067 0.0000
0.0000 0.0000 4.8067
Mg As Os
1 3 1
Cartesian
0.0000 0.0000 0.0000 Mg
0.0000 2.4033 2.4033 As
2.4033 0.0000 2.4033 As
2.4033 2.4033 0.0000 As
2.4033 2.4033 2.4033 Os


ZrI3Cl (SCAN, PBEsol geometry); formation energy from raw total energies = 0.658 eV/atom; DFT total energy = -145.61 eV for the cell shown; mass density = 5046 kg/m³; symmetry = No. 221
1.0
5.5066 0.0000 0.0000
0.0000 5.5066 0.0000
0.0000 0.0000 5.5066
Zr I Cl
1 3 1
Cartesian
0.0000 0.0000 0.0000 Zr
0.0000 2.7533 2.7533 I
2.7533 0.0000 2.7533 I
2.7533 2.7533 0.0000 I
2.7533 2.7533 2.7533 Cl


Be2CdSn (SCAN, PBEsol geometry); DFT total energy = -72.53 eV for the cell shown; calculated formation energy = 0.63 eV/atom; mass density = 6343 kg/m³; symmetry = No. 225
1.0
0.0000 3.1949 3.1949
3.1949 0.0000 3.1949
3.1949 3.1949 0.0000
Be Cd Sn
2 1 1
Cartesian
1.5974 1.5974 1.5974 Be
4.7923 4.7923 4.7923 Be
0.0000 0.0000 0.0000 Cd
3.1949 3.1949 3.1949 Sn


ZnSi2Se (SCAN, PBEsol geometry); formation energy from raw total energies = 0.480 eV/atom; DFT total energy = -51.71 eV for the cell shown; mass density = 4825 kg/m³; energy above the lowest structure with this stoichiometry = 85 meV/atom; symmetry = No. 123
1.0
3.5682 0.0000 0.0000
0.0000 3.5682 0.0000
0.0000 0.0000 5.4210
Zn Si Se
1 2 1
Cartesian
0.0000 0.0000 0.0000 Zn
0.0000 1.7841 2.7105 Si
1.7841 0.0000 2.7105 Si
1.7841 1.7841 0.0000 Se


LaRh3 (SCAN, PBEsol geometry); DFT total energy = -880.44 eV for the cell shown; calculated formation energy = -0.58 eV/atom; mass density = 10593 kg/m³; symmetry = No. 194
1.0
5.2698 0.0000 0.0000
-2.6349 4.5638 0.0000
0.0000 0.0000 17.5051
La Rh
6 18
Cartesian
0.0000 3.0425 0.7325 La
0.0000 3.0425 4.3763 La
0.0000 3.0425 8.0200 La
2.6349 1.5213 9.4851 La
2.6349 1.5213 13.1288 La
2.6349 1.5213 16.7726 La
0.0000 0.0000 0.0000 Rh
0.0000 0.0000 4.3763 Rh
0.0000 0.0000 8.7526 Rh
0.0000 0.0000 13.1288 Rh
0.0000 1.5203 10.9975 Rh
0.0000 1.5203 15.2602 Rh
-1.3183 3.8037 10.9975 Rh
-1.3183 3.8037 15.2602 Rh
1.3166 0.7601 2.2450 Rh
1.3166 0.7601 6.5076 Rh
0.0000 3.0425 13.1288 Rh
2.6349 1.5213 4.3763 Rh
1.3183 3.8037 10.9975 Rh
1.3183 3.8037 15.2602 Rh
3.9533 0.7601 2.2450 Rh
3.9533 0.7601 6.5076 Rh
2.6349 3.0436 2.2450 Rh
2.6349 3.0436 6.5076 Rh


Zn2HIr2 (SCAN, PBEsol geometry); DFT total energy = -346.27 eV for the cell shown; mass density = 14097 kg/m³; energy above the lowest structure with this stoichiometry = 0 meV/atom; symmetry = No. 127
1.0
5.3272 0.0000 0.0000
0.0000 5.3272 0.0000
0.0000 0.0000 4.2858
Zn H Ir
4 2 4
Cartesian
0.8432 1.8204 0.0000 Zn
1.8204 4.4840 0.0000 Zn
3.5068 0.8432 0.0000 Zn
4.4840 3.5068 0.0000 Zn
0.0000 0.0000 2.1429 H
2.6636 2.6636 2.1429 H
0.9324 3.5960 2.1429 Ir
1.7312 0.9324 2.1429 Ir
3.5960 4.3948 2.1429 Ir
4.3948 1.7312 2.1429 Ir


ErZn3P3 (SCAN, PBEsol geometry); DFT total energy = -253.85 eV for the cell shown; calculated formation energy = -0.69 eV/atom; mass density = 5822 kg/m³; symmetry = No. 194
1.0
3.9351 0.0000 0.0000
-1.9675 3.4079 0.0000
0.0000 0.0000 19.4151
Er Zn P
2 6 6
Cartesian
0.0000 0.0000 0.0000 Er
0.0000 0.0000 9.7076 Er
0.0000 2.2719 2.4730 Zn
0.0000 2.2719 7.2346 Zn
0.0000 2.2719 14.5614 Zn
1.9675 1.1360 4.8538 Zn
1.9675 1.1360 12.1805 Zn
1.9675 1.1360 16.9422 Zn
0.0000 2.2719 4.8538 P
0.0000 2.2719 11.3267 P
0.0000 2.2719 17.7961 P
1.9675 1.1360 1.6191 P
1.9675 1.1360 8.0885 P
1.9675 1.1360 14.5614 P


InTePt2O (SCAN, PBEsol geometry); formation energy from raw total energies = 0.017 eV/atom; DFT total energy = -217.17 eV for the cell shown; mass density = 10940 kg/m³; symmetry = No. 123
1.0
5.0119 0.0000 0.0000
0.0000 5.0119 0.0000
0.0000 0.0000 3.9191
In Te Pt O
1 1 2 1
Cartesian
0.0000 0.0000 0.0000 In
2.5060 2.5060 1.9595 Te
0.0000 2.5060 1.9595 Pt
2.5060 0.0000 1.9595 Pt
2.5060 2.5060 0.0000 O